Entry from the Alexandria database: a relaxed structure of Re4TcOs (GGA-PBE).

a = 4.446 Å, b = 4.649 Å, c = 10.128 Å
α = 90.00°, β = 90.00°, γ = 90.00°
Element x y z (fractional)
Re1 0.134 0.246 0.000
Re2 0.134 0.254 0.500
Re3 0.365 0.747 0.633
Re4 0.365 0.753 0.133
Re5 0.635 0.247 0.133
Re6 0.635 0.253 0.633
Re7 0.866 0.746 0.500
Re8 0.866 0.754 0.000
Tc1 0.500 0.000 0.349
Tc2 0.500 0.500 0.849
Os1 0.000 0.000 0.786
Os2 0.000 0.500 0.286

Results
- SG: Pnc2 (30)
- DOS at the Fermi energy: 13.44 states/eV per cell



Entry from the Alexandria database: a relaxed structure of Ce2Y3Tc2 (GGA-PBE).

a = 11.870 Å, b = 3.848 Å, c = 8.838 Å
α = 90.00°, β = 112.07°, γ = 90.00°
Element x y z (fractional)
Ce1 0.172 0.000 0.304
Ce2 0.328 0.500 0.696
Ce3 0.672 0.500 0.304
Ce4 0.828 0.000 0.696
Y1 0.000 0.500 0.500
Y2 0.117 0.500 0.915
Y3 0.383 0.000 0.085
Y4 0.500 0.000 0.500
Y5 0.617 0.000 0.915
Y6 0.883 0.500 0.085
Tc1 0.204 0.000 0.718
Tc2 0.296 0.500 0.282
Tc3 0.704 0.500 0.718
Tc4 0.796 0.000 0.282

Results
- SG: C2/m (12)
- DOS at the Fermi energy: 15.07 states/eV per cell



Number 1: volume 209.3 Å³ per cell, DFT total energy -133.57 eV/cell, magnetic moment 0.0 μB/f.u.. Number 2: volume 374.1 Å³ per cell, DFT total energy -105.62 eV/cell, magnetic moment 0.0 μB/f.u..